Compound: LiBeV
Source: Alexandria
Functional: PBE
Structure: relaxed

```
LiBeV
1.0
4.535 0.000 0.000
0.000 2.230 0.000
-1.130 0.000 7.254
Li Be V
2 2 2
direct
0.163 0.250 0.197 Li
0.837 0.750 0.803 Li
0.370 0.250 0.886 Be
0.630 0.750 0.114 Be
0.270 0.750 0.579 V
0.730 0.250 0.421 V
```

## Properties
- calculated total energy (eV per atom) = -4.74